FeIOF2, optimized geometry, DFT GGA+U; space-group type = No. 123; total magnetization = 4.650 μB/f.u.; energy above the most stable polymorph in this dataset = 0.000 kcal/mol of atoms
1.0
3.8862 0.0000 0.0000
0.0000 3.8862 0.0000
0.0000 0.0000 4.8850
Fe I O F
1 1 1 2
Cartesian
0.0000 0.0000 0.0000 Fe
1.9431 1.9431 2.4425 I
0.0000 0.0000 2.4425 O
0.0000 1.9431 0.0000 F
1.9431 0.0000 0.0000 F